## Nd8CdIn2 (GGA-PBE)

Data for Nd8CdIn2 after structural relaxation.

Properties
Polymorph energy (0 for the lowest one) (meV/atom): 0.0
Calculated total energy (eV per atom): -4.240
Energy of formation (eV/atom): -0.19

Unit cell a=19.082 b=5.398 c=7.138 alpha=90.00 beta=103.96 gamma=90.00
Space group C2/m (No. 12)
Inequivalent atoms, fractional coordinates:
Nd (0.017, 0.000, 0.261) (multiplicity 4)
Nd (0.094, 0.500, 0.965) (multiplicity 4)
Nd (0.160, 0.500, 0.461) (multiplicity 4)
Nd (0.201, 0.000, 0.788) (multiplicity 4)
Cd (0.000, 0.500, 0.500) (multiplicity 2)
In (0.186, 0.000, 0.229) (multiplicity 4)